Entry 1:
An optimized crystal structure of Sr3Ag6Hg5, computed with PBE.

It has space group Pmmn (No. 59, origin choice 2), with a = 4.805 Å, b = 14.151 Å, c = 10.340 Å, α = 90.00°, β = 90.00° and γ = 90.00°. Symmetry generates all atoms from Sr at (0.250, 0.059, 0.248), Sr at (0.250, 0.750, 0.257), Ag at (0.250, 0.088, 0.869), Ag at (0.250, 0.250, 0.035), Ag at (0.250, 0.250, 0.448), Ag at (0.250, 0.634, 0.539), Hg at (0.250, 0.072, 0.596), Hg at (0.250, 0.608, 0.983) and Hg at (0.250, 0.750, 0.767).

The calculation puts the size of the total moment at 0.0000 μB per atom. Its crystal system is orthorhombic. The formation energy is -376 kJ/mol of formula units. The value obtained for the density of states at the Fermi level is 0.471 states/eV/atom.



Entry 2:
An optimized crystal structure of Sr6AgHg, computed with PBE.

It has space group I4/mmm (No. 139), with a = 5.744 Å, b = 5.744 Å, c = 20.608 Å, α = 90.00°, β = 90.00° and γ = 90.00°. Symmetry generates all atoms from Sr at (0.000, 0.000, 0.250), Sr at (0.000, 0.500, 0.093), Ag at (0.000, 0.000, 0.000) and Hg at (0.000, 0.000, 0.500).

The calculation puts the size of the total moment at 0.0000 μB per atom. Its crystal system is tetragonal. The formation energy is -156 kJ/mol of formula units. The value obtained for the density of states at the Fermi level is 0.966 states/eV/atom.